A geometry-optimized ZrAlCuC structure, computed with PBE.

Unit cell a=3.2051 b=3.2051 c=12.8805 alpha=90.00 beta=90.00 gamma=120.00
Closest atoms and distances in Å follow each position.
Space group P-6m2 (No. 187)
One atom of each set of equivalent atoms:
Zr (0.0000, 0.0000, 0.0000) x1  6 C 2.40
Zr (0.3333, 0.6667, 0.5000) x1  6 Cu 2.79
Al (0.6667, 0.3333, 0.1828) x2  3 C 2.03
Cu (0.0000, 0.0000, 0.3380) x2  3 Al 2.72, 3 Zr 2.79
C (0.3333, 0.6667, 0.1182) x2  3 Al 2.03

## Properties
V	115	Å³/cell
spin magnetization	0.0	Bohr magnetons per cell
crystal system	hexagonal
VASP energy	-0.4646	Ry per atom

***

A geometry-optimized Zr2Al2CuC3 structure, computed with PBE.

Unit cell a=3.2568 b=3.2568 c=11.2966 alpha=90.00 beta=90.00 gamma=120.00
Closest atoms and distances in Å follow each position.
Space group P3m1 (No. 156)
One atom of each set of equivalent atoms:
Zr (0.0000, 0.0000, 0.0000) x1  6 C 2.30-2.48
Zr (0.3333, 0.6667, 0.4310) x1  3 C 2.19
Al (0.6667, 0.3333, 0.2141) x1  6 C 2.17-2.30
Al (0.6667, 0.3333, 0.7913) x1  3 C 2.02
Cu (0.0000, 0.0000, 0.6241) x1  3 Al 2.67, 3 Zr 2.88
C (0.0000, 0.0000, 0.3312) x1  3 Zr 2.19, 3 Al 2.30
C (0.3333, 0.6667, 0.1178) x1  3 Al 2.17, 3 Zr 2.30
C (0.3333, 0.6667, 0.8573) x1  3 Al 2.02

## Properties
V	104	Å³/cell
spin magnetization	0.0	Bohr magnetons per cell
crystal system	trigonal
VASP energy	-0.5185	Ry per atom

***

A geometry-optimized Zr2Al2Cu3C structure, computed with PBE.

Unit cell a=4.0578 b=4.0578 c=8.4331 alpha=90.00 beta=90.00 gamma=120.00
Closest atoms and distances in Å follow each position.
Space group P3m1 (No. 156)
One atom of each set of equivalent atoms:
Zr (0.0000, 0.0000, 0.0000) x1  3 C 2.37
Zr (0.3333, 0.6667, 0.5409) x1  7 Cu 2.58-2.87
Al (0.6667, 0.3333, 0.2908) x1  6 Cu 2.41-2.46
Al (0.6667, 0.3333, 0.7768) x1  3 Cu 2.51, 3 C 2.80
Cu (0.0000, 0.0000, 0.3567) x1  3 Al 2.41, 4 Cu 2.64-2.69
Cu (0.0000, 0.0000, 0.6698) x1  3 Al 2.51, 4 Zr 2.58-2.78, 1 Cu 2.64
Cu (0.3333, 0.6667, 0.2004) x1  1 C 2.05
C (0.3333, 0.6667, 0.9576) x1  1 Cu 2.05

## Properties
V	120	Å³/cell
spin magnetization	0.0	Bohr magnetons per cell
crystal system	trigonal
VASP energy	-0.4166	Ry per atom

***

A geometry-optimized ZrAlCuC structure, computed with PBE.

Unit cell a=4.1489 b=4.1489 c=7.2170 alpha=90.00 beta=90.00 gamma=120.00
Closest atoms and distances in Å follow each position.
Space group P-3m1 (No. 164)
One atom of each set of equivalent atoms:
Zr (0.3333, 0.6667, 0.3141) x2  4 C 2.33-2.42
Al (0.0000, 0.0000, 0.0000) x1  6 Cu 2.47
Al (0.0000, 0.0000, 0.5000) x1  6 C 2.59, 6 Zr 2.75
Cu (0.3333, 0.6667, 0.9157) x2  1 C 2.01
C (0.3333, 0.6667, 0.6366) x2  1 Cu 2.01

## Properties
V	108	Å³/cell
spin magnetization	0.0	Bohr magnetons per cell
crystal system	trigonal
VASP energy	-0.4594	Ry per atom

***

A geometry-optimized ZrAlCuC structure, computed with PBE.

Unit cell a=3.1974 b=3.1974 c=13.0193 alpha=90.00 beta=90.00 gamma=120.00
Closest atoms and distances in Å follow each position.
Space group P6_3mc (No. 186)
One atom of each set of equivalent atoms:
Zr (0.3333, 0.6667, 0.0000) x2  3 C 2.34
Al (0.0000, 0.0000, 0.3196) x2  3 C 2.06
Cu (0.3333, 0.6667, 0.6665) x2  3 Al 2.72, 3 Zr 2.85
C (0.3333, 0.6667, 0.3901) x2  3 Al 2.06

## Properties
V	115	Å³/cell
spin magnetization	0.0	Bohr magnetons per cell
crystal system	hexagonal
VASP energy	-0.4660	Ry per atom

***

A geometry-optimized DyAl3C structure, computed with PBE.

Unit cell a=4.3671 b=4.3671 c=4.3671 alpha=90.00 beta=90.00 gamma=90.00
Closest atoms and distances in Å follow each position.
Space group Pm-3m (No. 221)
One atom of each set of equivalent atoms:
Dy (0.0000, 0.0000, 0.0000) x1  12 Al 3.09
Al (0.0000, 0.5000, 0.5000) x3  2 C 2.18
C (0.5000, 0.5000, 0.5000) x1  6 Al 2.18

## Properties
V	83	Å³/cell
spin magnetization	0.0	Bohr magnetons per cell
crystal system	cubic
VASP energy	-0.3448	Ry per atom

***

A geometry-optimized DyEr2AlC structure, computed with PBE.

Unit cell a=4.8305 b=4.8305 c=4.8648 alpha=90.00 beta=90.00 gamma=90.00
Closest atoms and distances in Å follow each position.
Space group P4/mmm (No. 123)
One atom of each set of equivalent atoms:
Dy (0.0000, 0.0000, 0.0000) x1  2 C 2.43
Er (0.0000, 0.5000, 0.5000) x2  2 C 2.42
Al (0.5000, 0.5000, 0.0000) x1  4 Dy 3.42, 8 Er 3.43
C (0.0000, 0.0000, 0.5000) x1  4 Er 2.42, 2 Dy 2.43

## Properties
V	114	Å³/cell
spin magnetization	0.0	Bohr magnetons per cell
crystal system	tetragonal
VASP energy	-0.4231	Ry per atom

***

A geometry-optimized GdDy2AlC structure, computed with PBE.

Unit cell a=4.8817 b=4.8817 c=4.9379 alpha=90.00 beta=90.00 gamma=90.00
Closest atoms and distances in Å follow each position.
Space group P4/mmm (No. 123)
One atom of each set of equivalent atoms:
Gd (0.0000, 0.0000, 0.0000) x1  2 C 2.47
Dy (0.0000, 0.5000, 0.5000) x2  2 C 2.44
Al (0.5000, 0.5000, 0.0000) x1  4 Gd 3.45, 8 Dy 3.47
C (0.0000, 0.0000, 0.5000) x1  4 Dy 2.44, 2 Gd 2.47

## Properties
V	118	Å³/cell
spin magnetization	0.0	Bohr magnetons per cell
crystal system	tetragonal
VASP energy	-0.4215	Ry per atom

***

A geometry-optimized Gd2DyAlC structure, computed with PBE.

Unit cell a=4.9393 b=4.9393 c=4.8817 alpha=90.00 beta=90.00 gamma=90.00
Closest atoms and distances in Å follow each position.
Space group P4/mmm (No. 123)
One atom of each set of equivalent atoms:
Gd (0.0000, 0.5000, 0.0000) x2  2 C 2.47
Dy (0.0000, 0.0000, 0.5000) x1  2 C 2.44
Al (0.5000, 0.5000, 0.5000) x1  8 Gd 3.47, 4 Dy 3.49
C (0.0000, 0.0000, 0.0000) x1  2 Dy 2.44, 4 Gd 2.47

## Properties
V	119	Å³/cell
spin magnetization	0.0	Bohr magnetons per cell
crystal system	tetragonal
VASP energy	-0.4210	Ry per atom

***

A geometry-optimized Sm2DyAlC structure, computed with PBE.

Unit cell a=5.0171 b=5.0171 c=4.8894 alpha=90.00 beta=90.00 gamma=90.00
Closest atoms and distances in Å follow each position.
Space group P4/mmm (No. 123)
One atom of each set of equivalent atoms:
Sm (0.0000, 0.5000, 0.0000) x2  2 C 2.51
Dy (0.0000, 0.0000, 0.5000) x1  2 C 2.44
Al (0.5000, 0.5000, 0.5000) x1  8 Sm 3.50, 4 Dy 3.55
C (0.0000, 0.0000, 0.0000) x1  2 Dy 2.44, 4 Sm 2.51

## Properties
V	123	Å³/cell
spin magnetization	0.0	Bohr magnetons per cell
crystal system	tetragonal
VASP energy	-0.4188	Ry per atom

***

A geometry-optimized DyY2AlC structure, computed with PBE.

Unit cell a=4.8879 b=4.8879 c=4.8867 alpha=90.00 beta=90.00 gamma=90.00
Closest atoms and distances in Å follow each position.
Space group P4/mmm (No. 123)
One atom of each set of equivalent atoms:
Dy (0.0000, 0.0000, 0.0000) x1  2 C 2.44
Y (0.0000, 0.5000, 0.5000) x2  2 C 2.44
Al (0.5000, 0.5000, 0.0000) x1  8 Y 3.46, 4 Dy 3.46
C (0.0000, 0.0000, 0.5000) x1  2 Dy 2.44, 4 Y 2.44

## Properties
V	117	Å³/cell
spin magnetization	0.0	Bohr magnetons per cell
crystal system	tetragonal
VASP energy	-0.4785	Ry per atom

***

A geometry-optimized Dy2YAlC structure, computed with PBE.

Unit cell a=4.8847 b=4.8847 c=4.8869 alpha=90.00 beta=90.00 gamma=90.00
Closest atoms and distances in Å follow each position.
Space group P4/mmm (No. 123)
One atom of each set of equivalent atoms:
Dy (0.0000, 0.5000, 0.0000) x2  2 C 2.44
Y (0.0000, 0.0000, 0.5000) x1  2 C 2.44
Al (0.5000, 0.5000, 0.5000) x1  4 Y 3.45, 8 Dy 3.45
C (0.0000, 0.0000, 0.0000) x1  4 Dy 2.44, 2 Y 2.44

## Properties
V	117	Å³/cell
spin magnetization	0.0	Bohr magnetons per cell
crystal system	tetragonal
VASP energy	-0.4503	Ry per atom

***

- Number 3 is which compound?
  Zr2Al2Cu3C